Crystalline CaZnSb2 at its relaxed geometry. Source: Alexandria, functional PBE. Values from VASP.

Output
* uncorrected energy: -3.1004 eV per atom
* formation energy (no corrections): -0.220 eV/atom
* calculated volume: 106.9 Å³/cell
* space group: Pmm2

```
&SYSTEM
  ibrav = 0, nat = 4, ntyp = 3
/
ATOMIC_SPECIES
Sb 121.76 Sb.upf
Zn 65.41 Zn.upf
Ca 40.08 Ca.upf
ATOMIC_POSITIONS crystal
Sb 0.0000 0.0000 0.9224
Sb 0.5000 0.5000 0.3051
Zn 0.0000 0.0000 0.4833
Ca 0.5000 0.5000 0.7892
CELL_PARAMETERS angstrom
3.4144 0.0000 0.0000
0.0000 4.8561 0.0000
0.0000 0.0000 6.4493
```

---

Crystalline CaZn2Sb at its relaxed geometry. Source: Alexandria, functional PBE. Values from VASP.

Output
* uncorrected energy: -2.4082 eV per atom
* formation energy (no corrections): -0.240 eV/atom
* calculated volume: 93.6 Å³/cell
* space group: Imm2

```
&SYSTEM
  ibrav = 0, nat = 4, ntyp = 3
/
ATOMIC_SPECIES
Sb 121.76 Sb.upf
Zn 65.41 Zn.upf
Ca 40.08 Ca.upf
ATOMIC_POSITIONS crystal
Sb 0.2538 0.7538 0.5000
Zn 0.9433 0.9433 0.0000
Zn 0.7834 0.2834 0.5000
Ca 0.5194 0.5194 0.0000
CELL_PARAMETERS angstrom
-1.1694 -4.5737 3.6082
4.1974 -4.1188 0.8505
-0.4743 5.9213 0.1353
```

---

Crystalline Ca2ZnSb2 at its relaxed geometry. Source: Alexandria, functional PBE. Values from VASP.

Output
* uncorrected energy: -3.4976 eV per atom
* formation energy (no corrections): -0.793 eV/atom
* calculated volume: 1264.7 Å³/cell
* space group: Pm

```
&SYSTEM
  ibrav = 0, nat = 45, ntyp = 3
/
ATOMIC_SPECIES
Ca 40.08 Ca.upf
Zn 65.41 Zn.upf
Sb 121.76 Sb.upf
ATOMIC_POSITIONS crystal
Ca 0.0000 0.0682 0.5864
Ca 0.0000 0.9339 0.4094
Ca 0.0000 0.4422 0.0953
Ca 0.0000 0.5641 0.9115
Ca 0.0000 0.3700 0.6325
Ca 0.0000 0.6328 0.3634
Ca 0.0000 0.1314 0.1445
Ca 0.0000 0.8542 0.8594
Ca 0.0000 0.1288 0.7531
Ca 0.0000 0.8753 0.2376
Ca 0.0000 0.3800 0.2652
Ca 0.0000 0.6184 0.7348
Ca 0.5000 0.5004 0.4988
Ca 0.5000 0.9963 0.0052
Ca 0.5000 0.3034 0.9006
Ca 0.5000 0.7149 0.1052
Ca 0.5000 0.2122 0.3962
Ca 0.5000 0.7885 0.5994
Zn 0.5000 0.2254 0.5421
Zn 0.5000 0.7737 0.4534
Zn 0.5000 0.2864 0.0478
Zn 0.5000 0.7263 0.9538
Zn 0.5000 0.3813 0.7371
Zn 0.5000 0.6171 0.2634
Zn 0.5000 0.1112 0.2401
Zn 0.5000 0.8567 0.7562
Zn 0.0000 0.1114 0.8966
Sb 0.0000 0.1964 0.0035
Sb 0.0000 0.8073 0.0036
Sb 0.0000 0.3081 0.4911
Sb 0.0000 0.6925 0.5069
Sb 0.0000 0.3745 0.8078
Sb 0.0000 0.6222 0.1954
Sb 0.0000 0.1198 0.3057
Sb 0.0000 0.8859 0.6951
Sb 0.5000 0.1942 0.6645
Sb 0.5000 0.8087 0.3324
Sb 0.5000 0.3079 0.1685
Sb 0.5000 0.6825 0.8323
Sb 0.5000 0.0408 0.8508
Sb 0.5000 0.9583 0.1481
Sb 0.5000 0.4595 0.3532
Sb 0.5000 0.5410 0.6477
Sb 0.5000 0.9996 0.4996
Sb 0.5000 0.5020 0.0018
CELL_PARAMETERS angstrom
4.5918 0.0000 0.0000
0.0000 12.5405 0.0119
0.0000 0.1391 21.9639
```

---

Crystalline CaZn2Sb2 at its relaxed geometry. Source: Alexandria, functional PBE. Values from VASP.

Output
* uncorrected energy: -2.9437 eV per atom
* formation energy (no corrections): -0.385 eV/atom
* calculated volume: 131.4 Å³/cell
* space group: Amm2

```
&SYSTEM
  ibrav = 0, nat = 5, ntyp = 3
/
ATOMIC_SPECIES
Ca 40.08 Ca.upf
Zn 65.41 Zn.upf
Sb 121.76 Sb.upf
ATOMIC_POSITIONS crystal
Ca 0.0401 0.8000 0.0799
Zn 0.7414 0.8000 0.4825
Zn 0.2474 0.3000 0.4957
Sb 0.3609 0.8000 0.7213
Sb 0.6103 0.3000 0.2207
CELL_PARAMETERS angstrom
0.8308 1.8043 -3.8713
1.2064 -3.9373 -1.5762
-6.8732 -2.1015 -0.0110
```

---

Crystalline CaZn2Sb2 at its relaxed geometry. Source: Alexandria, functional PBE. Values from VASP.

Output
* uncorrected energy: -2.8180 eV per atom
* formation energy (no corrections): -0.259 eV/atom
* calculated volume: 125.2 Å³/cell
* space group: I4/mmm

```
&SYSTEM
  ibrav = 0, nat = 5, ntyp = 3
/
ATOMIC_SPECIES
Sb 121.76 Sb.upf
Zn 65.41 Zn.upf
Ca 40.08 Ca.upf
ATOMIC_POSITIONS crystal
Sb 0.7500 0.2500 0.5000
Sb 0.2500 0.7500 0.5000
Zn 0.3807 0.3807 0.2386
Zn 0.6193 0.6193 0.7614
Ca 0.0000 0.0000 0.0000
CELL_PARAMETERS angstrom
4.9899 0.0000 0.0000
0.0000 4.9899 0.0000
2.4950 2.4950 5.0277
```

---

Crystalline Ca3ZnSb at its relaxed geometry. Source: Alexandria, functional PBE. Values from VASP.

Output
* uncorrected energy: -2.4558 eV per atom
* energy above the most stable polymorph in this dataset: 0.000 eV/atom
* formation energy (no corrections): -0.176 eV/atom
* calculated volume: 168.6 Å³/cell
* space group: Pm-3m

```
&SYSTEM
  ibrav = 0, nat = 5, ntyp = 3
/
ATOMIC_SPECIES
Sb 121.76 Sb.upf
Zn 65.41 Zn.upf
Ca 40.08 Ca.upf
ATOMIC_POSITIONS crystal
Sb 0.5000 0.5000 0.5000
Zn 0.0000 0.0000 0.0000
Ca 0.0000 0.5000 0.0000
Ca 0.0000 0.0000 0.5000
Ca 0.5000 0.0000 0.0000
CELL_PARAMETERS angstrom
-3.6050 3.6572 2.0353
-0.6649 -3.1525 4.4870
4.1322 2.6833 2.4976
```

---

Crystalline Ca2ZnSb2 at its relaxed geometry. Source: Alexandria, functional PBE. Values from VASP.

Output
* uncorrected energy: -3.1640 eV per atom
* formation energy (no corrections): -0.460 eV/atom
* calculated volume: 296.6 Å³/cell
* space group: P4/mbm

```
&SYSTEM
  ibrav = 0, nat = 10, ntyp = 3
/
ATOMIC_SPECIES
Sb 121.76 Sb.upf
Zn 65.41 Zn.upf
Ca 40.08 Ca.upf
ATOMIC_POSITIONS crystal
Sb 0.1632 0.6632 0.5000
Sb 0.6632 0.8368 0.5000
Sb 0.8368 0.3368 0.5000
Sb 0.3368 0.1632 0.5000
Zn 0.0000 0.0000 0.0000
Zn 0.5000 0.5000 0.0000
Ca 0.3619 0.8619 0.0000
Ca 0.8619 0.6381 0.0000
Ca 0.6381 0.1381 0.0000
Ca 0.1381 0.3619 0.0000
CELL_PARAMETERS angstrom
9.1462 0.0000 0.0000
0.0000 9.1462 0.0000
0.0000 0.0000 3.5459
```

---

Crystalline CaZn3Sb at its relaxed geometry. Source: Alexandria, functional PBE. Values from VASP.

Output
* uncorrected energy: -1.6977 eV per atom
* energy above the most stable polymorph in this dataset: 0.000 eV/atom
* formation energy (no corrections): 0.292 eV/atom
* calculated volume: 145.1 Å³/cell
* space group: Pm-3m

```
&SYSTEM
  ibrav = 0, nat = 5, ntyp = 3
/
ATOMIC_SPECIES
Sb 121.76 Sb.upf
Zn 65.41 Zn.upf
Ca 40.08 Ca.upf
ATOMIC_POSITIONS crystal
Sb 0.0000 0.0000 0.0000
Zn 0.0000 0.5000 0.0000
Zn 0.0000 0.0000 0.5000
Zn 0.5000 0.0000 0.0000
Ca 0.5000 0.5000 0.5000
CELL_PARAMETERS angstrom
-2.7271 4.3189 -1.2321
-4.4320 -2.8211 -0.0793
-0.7267 0.9982 5.1072
```

---

- The lowest calculated volume belongs to which entry?
  CaZn2Sb

---

- What is the formula in the fifth record?
  CaZn2Sb2

---

- Which value of uncorrected energy does entry 5 give?
  -2.8180 eV per atom

---

- Among the records above, which one has the lowest calculated volume?
  CaZn2Sb